{
  "formula": "Be2V2Tc",
  "functional": "PBE-GGA",
  "state": "optimized geometry",
  "cell": [[6.085, 0.000, 0.000], [0.000, 6.085, 0.000], [0.000, 0.000, 3.064]],
  "species": ["Be", "Be", "Be", "Be", "V", "V", "V", "V", "Tc", "Tc"],
  "frac_coords": [[0.119, 0.381, 0.000], [0.381, 0.881, 0.000], [0.619, 0.119, 0.000], [0.881, 0.619, 0.000], [0.177, 0.677, 0.500], [0.323, 0.177, 0.500], [0.677, 0.823, 0.500], [0.823, 0.323, 0.500], [0.000, 0.000, 0.000], [0.500, 0.500, 0.000]],
  "e_tot_ev_per_fu": -37.32,
  "mass_density_g_cm3": 6.4,
  "dos_at_fermi_per_ev_cell": 3.0,
  "crystal_system": "tetragonal",
  "volume_a3_per_cell": 113,
  "formation_enthalpy_0k_ev_per_atom": -0.25,
  "space_group": "No. 127"
}


{
  "formula": "HfMg14B",
  "functional": "PBE-GGA",
  "state": "optimized geometry",
  "cell": [[10.159, 0.000, 0.000], [0.000, 2.960, 5.690], [0.000, -2.960, 5.690]],
  "species": ["Hf", "Mg", "Mg", "Mg", "Mg", "Mg", "Mg", "Mg", "Mg", "Mg", "Mg", "Mg", "Mg", "Mg", "Mg", "B"],
  "frac_coords": [[0.000, 0.000, 0.000], [0.000, 0.027, 0.495], [0.000, 0.495, 0.027], [0.168, 0.602, 0.602], [0.246, 0.134, 0.642], [0.246, 0.642, 0.134], [0.252, 0.139, 0.139], [0.500, 0.485, 0.979], [0.500, 0.490, 0.490], [0.500, 0.979, 0.485], [0.500, 0.979, 0.979], [0.748, 0.139, 0.139], [0.754, 0.134, 0.642], [0.754, 0.642, 0.134], [0.832, 0.602, 0.602], [0.000, 0.442, 0.442]],
  "e_tot_ev_per_fu": -36.14,
  "mass_density_g_cm3": 2.6,
  "dos_at_fermi_per_ev_cell": 7.3,
  "crystal_system": "orthorhombic",
  "volume_a3_per_cell": 342,
  "formation_enthalpy_0k_ev_per_atom": 0.18,
  "space_group": "No. 38",
  "e_above_lowest_polymorph_ev_per_atom": 0.000
}


{
  "formula": "TcRu2Cl",
  "functional": "PBE-GGA",
  "state": "optimized geometry",
  "cell": [[6.155, 0.000, 0.000], [0.000, 6.155, 0.000], [0.000, 0.000, 6.155]],
  "species": ["Tc", "Tc", "Tc", "Tc", "Ru", "Ru", "Ru", "Ru", "Ru", "Ru", "Ru", "Ru", "Cl", "Cl", "Cl", "Cl"],
  "frac_coords": [[0.000, 0.000, 0.000], [0.000, 0.500, 0.500], [0.500, 0.000, 0.500], [0.500, 0.500, 0.000], [0.000, 0.000, 0.500], [0.000, 0.500, 0.000], [0.250, 0.250, 0.250], [0.250, 0.750, 0.750], [0.500, 0.000, 0.000], [0.500, 0.500, 0.500], [0.750, 0.250, 0.750], [0.750, 0.750, 0.250], [0.250, 0.250, 0.750], [0.250, 0.750, 0.250], [0.750, 0.250, 0.250], [0.750, 0.750, 0.750]],
  "e_tot_ev_per_fu": -27.27,
  "mass_density_g_cm3": 9.6,
  "dos_at_fermi_per_ev_cell": 11.4,
  "crystal_system": "cubic",
  "volume_a3_per_cell": 233,
  "space_group": "No. 216",
  "e_above_lowest_polymorph_ev_per_atom": 0.548
}